A relaxed structure of TeAsAuI2. Source: Alexandria via LeMat-Bulk, functional PBE.

Cell lengths 5.5923, 5.5923, 5.5578 Å; angles 90.00, 90.00, 90.00 degrees
Element x y z (fractional)
I  0.0000  0.5000  0.0000
I  0.5000  0.0000  0.0000
As  0.0000  0.0000  0.0000
Te  0.0000  0.0000  0.5000
Au  0.5000  0.5000  0.5000

Properties
Electronic total energy in eV per cell: -11.24
SG: P4/mmm

***

A relaxed structure of TeAsAuI2. Source: Alexandria via LeMat-Bulk, functional PBE.

Cell lengths 5.5061, 5.5061, 5.7244 Å; angles 90.00, 90.00, 90.00 degrees
Site moments in Bohr magnetons follow the coordinates.
Element x y z (fractional)
I  0.0000  0.5000  0.0000  0.01
I  0.5000  0.0000  0.0000  0.01
As  0.5000  0.5000  0.5000  0.81
Te  0.0000  0.0000  0.5000  -0.29
Au  0.0000  0.0000  0.0000  -0.01

Properties
Electronic total energy in eV per cell: -10.93
SG: P4/mmm

***

Number 1: DOS(E_F) 5.9 states/eV/f.u.. Number 2: DOS(E_F) 2.7 states/eV/f.u..